(1)
The following is a DFT calculation (GGA-PBE) of a relaxed structure of K2Si2Se5.

Output
SG = C2/m, No. 12
uncorrected formation energy = -0.57 eV per atom

Lattice parameters (Å, degrees): 5.0772 7.0148 8.3703 98.46 90.00 111.22
Closest atoms and distances in Å follow each position.
Atoms (fractional coordinates):
1 Se 0.1337 0.2675 0.6172  1 Si 2.20
2 K 0.4065 0.8129 0.6742  6 Se 3.45-3.78
3 Si 0.1589 0.3177 0.8834  3 Se 2.20-2.43
4 Se 0.0000 0.0000 0.0000  2 Si 2.43
5 K 0.5935 0.1871 0.3258  6 Se 3.45-3.78
6 Se 0.8663 0.7325 0.3828  1 Si 2.20
7 Si 0.8411 0.6823 0.1166  3 Se 2.20-2.43
8 Se 0.6785 0.3570 0.9560  1 Si 2.33
9 Se 0.3215 0.6430 0.0440  1 Si 2.33

---

(2)
The following is a DFT calculation (GGA-PBE) of a relaxed structure of Tl2NiW.

Output
distance to the lowest polymorph of the same formula = 0.4713 eV/atom
SG = Pmmm, No. 47
ΔE_f = 994 meV per atom

Lattice parameters (Å, degrees): 3.3449 5.0259 4.5127 90.00 90.00 90.00
Closest atoms and distances in Å follow each position.
Atoms (fractional coordinates):
1 Ni 0.0000 0.5000 0.5000  4 Tl 2.81, 4 W 3.02
2 W 0.5000 0.0000 0.5000  4 Tl 2.81, 4 Ni 3.02
3 Tl 0.5000 0.5000 0.0000  4 Ni 2.81, 4 Tl 3.02
4 Tl 0.0000 0.0000 0.0000  4 W 2.81, 4 Tl 3.02

---

(3)
The following is a DFT calculation (GGA-PBE) of a relaxed structure of CsKSe2Br.

Output
distance to the lowest polymorph of the same formula = 0.0000 eV/atom
SG = P4/mmm, No. 123
uncorrected formation energy = -0.36 eV per atom

Lattice parameters (Å, degrees): 6.1933 6.1933 6.2357 90.00 90.00 90.00
Closest atoms and distances in Å follow each position.
Atoms (fractional coordinates):
1 Se 0.0000 0.5000 0.0000  2 K 3.10
2 Se 0.5000 0.0000 0.0000  2 K 3.10
3 Cs 0.5000 0.5000 0.5000  4 Br 4.38, 8 Se 4.39
4 Br 0.0000 0.0000 0.5000  2 K 3.12
5 K 0.0000 0.0000 0.0000  4 Se 3.10, 2 Br 3.12

---

(4)
The following is a DFT calculation (GGA-PBE) of a relaxed structure of Zn2Se.

Output
distance to the lowest polymorph of the same formula = 0.2213 eV/atom
SG = I4_1/amd, No. 141
uncorrected formation energy = 0.03 eV per atom

Lattice parameters (Å, degrees): 9.5679 9.5679 9.5679 158.67 158.67 30.34
Closest atoms and distances in Å follow each position.
Atoms (fractional coordinates):
1 Se 0.0000 0.0000 0.0000  8 Zn 2.84
2 Zn 0.1771 0.6771 0.5000  3 Zn 2.61-2.69, 4 Se 2.84
3 Se 0.7500 0.2500 0.5000  8 Zn 2.84
4 Zn 0.3229 0.8229 0.5000  3 Zn 2.61-2.69, 4 Se 2.84
5 Zn 0.4271 0.4271 0.0000  3 Zn 2.61-2.69, 4 Se 2.84
6 Zn 0.5729 0.5729 0.0000  3 Zn 2.61-2.69, 4 Se 2.84

---

(5)
The following is a DFT calculation (GGA-PBE) of a relaxed structure of LaTcIr2Br.

Output
SG = P4/mmm, No. 123
uncorrected formation energy = 1.95 eV per atom

Lattice parameters (Å, degrees): 4.9805 5.5637 4.9805 90.00 90.00 90.00
Closest atoms and distances in Å follow each position.
Atoms (fractional coordinates):
1 Ir 0.0000 0.0000 0.5000  2 La 2.49
2 Tc 0.5000 0.5000 0.5000  4 Br 3.52, 8 Ir 3.73
3 Br 0.0000 0.5000 0.0000  2 La 2.78
4 La 0.0000 0.0000 0.0000  4 Ir 2.49, 2 Br 2.78
5 Ir 0.5000 0.0000 0.0000  2 La 2.49

---

(6)
The following is a DFT calculation (GGA-PBE) of a relaxed structure of Ce2DyZn2Ga2.

Output
SG = R-3m, No. 166
ΔE_f = -422 meV per atom

Lattice parameters (Å, degrees): 4.3364 4.3364 9.3746 76.63 76.63 60.00
Closest atoms and distances in Å follow each position.
Atoms (fractional coordinates):
1 Zn 0.5979 0.5979 0.2063  3 Ga 2.50
2 Ga 0.7357 0.7357 0.7930  3 Zn 2.50
3 Ga 0.2643 0.2643 0.2070  3 Zn 2.50
4 Ce 0.1416 0.1416 0.5753  3 Ce 2.85, 3 Ga 3.18, 3 Zn 3.19
5 Zn 0.4021 0.4021 0.7937  3 Ga 2.50
6 Dy 0.0000 0.0000 0.0000  6 Zn 3.12, 6 Ga 3.13
7 Ce 0.8584 0.8584 0.4247  3 Ce 2.85, 3 Ga 3.18, 3 Zn 3.19

---

Number 1: density of states at the Fermi level 0.204 states/eV per atom. Number 2: density of states at the Fermi level 1.018 states/eV per atom. Number 3: density of states at the Fermi level 1.255 states/eV per atom. Number 4: density of states at the Fermi level 0.510 states/eV per atom. Number 5: density of states at the Fermi level 1.682 states/eV per atom. Number 6: density of states at the Fermi level 1.291 states/eV per atom.